A plane-wave DFT calculation with PBE-GGA was carried out for a relaxed Pa2BeGe3Rh4 crystal.

Output
E: -7.304 eV/atom

Unit cell a=4.098 b=4.098 c=10.182 alpha=90.00 beta=90.00 gamma=90.00
Fractional coordinates of all 10 atoms:
Pa 0.000 0.500 0.241
Pa 0.500 0.000 0.759
Be 0.500 0.500 0.000
Ge 0.000 0.000 0.000
Ge 0.000 0.500 0.636
Ge 0.500 0.000 0.364
Rh 0.000 0.000 0.500
Rh 0.000 0.500 0.873
Rh 0.500 0.000 0.127
Rh 0.500 0.500 0.500

=====

A plane-wave DFT calculation with PBE-GGA was carried out for a relaxed Pa2BeGe4Rh3 crystal.

Output
E: -6.932 eV/atom

Unit cell a=3.978 b=3.978 c=10.987 alpha=90.00 beta=90.00 gamma=90.00
Fractional coordinates of all 10 atoms:
Pa 0.000 0.500 0.247
Pa 0.500 0.000 0.753
Be 0.500 0.500 0.000
Ge 0.000 0.000 0.500
Ge 0.000 0.500 0.873
Ge 0.500 0.000 0.127
Ge 0.500 0.500 0.500
Rh 0.000 0.000 0.000
Rh 0.000 0.500 0.652
Rh 0.500 0.000 0.348